Entry 1:
The following is a PBE-GGA calculation of an optimized crystal structure of CdTePbO6, from Alexandria.

a b c (Å): 5.4999 5.4999 9.6547
angles (deg): 90.00 90.00 120.00
Fractional positions:
Cd: 0.0000 0.0000 0.0000
Cd: 0.0000 0.0000 0.5000
Te: 0.3333 0.6667 0.2500
Te: 0.6667 0.3333 0.7500
Pb: 0.3333 0.6667 0.7500
Pb: 0.6667 0.3333 0.2500
O: 0.0325 0.3780 0.1347
O: 0.0325 0.6545 0.3653
O: 0.3455 0.3780 0.3653
O: 0.3455 0.9675 0.1347
O: 0.3780 0.0325 0.6347
O: 0.3780 0.3455 0.8653
O: 0.6220 0.6545 0.1347
O: 0.6220 0.9675 0.3653
O: 0.6545 0.0325 0.8653
O: 0.6545 0.6220 0.6347
O: 0.9675 0.3455 0.6347
O: 0.9675 0.6220 0.8653

Properties
For the density of states at the Fermi level, the calculation gives 0.035 states/eV/atom. The calculation puts the uncorrected formation energy at -968 meV per atom. The energy is -5.136 eV per atom.


Entry 2:
The following is a PBE-GGA calculation of an optimized crystal structure of CdTePb2O8, from Alexandria.

a b c (Å): 4.9332 6.8124 5.0019
angles (deg): 90.00 90.00 90.00
Fractional positions:
Cd: 0.0000 0.0000 0.0000
Te: 0.0000 0.5000 0.0000
Pb: 0.5000 0.2494 0.5000
Pb: 0.5000 0.7506 0.5000
O: 0.1984 0.2869 0.1705
O: 0.1984 0.7131 0.1705
O: 0.2706 0.5000 0.6947
O: 0.2973 0.0000 0.6777
O: 0.7027 0.0000 0.3223
O: 0.7294 0.5000 0.3053
O: 0.8016 0.2869 0.8295
O: 0.8016 0.7131 0.8295

Properties
For the density of states at the Fermi level, the calculation gives 0.143 states/eV/atom. The calculation puts the uncorrected formation energy at -902 meV per atom. The energy is -5.163 eV per atom.


Entry 3:
The following is a PBE-GGA calculation of an optimized crystal structure of Ti2CdPbO6, from Alexandria.

a b c (Å): 7.4237 7.4237 6.5714
angles (deg): 105.61 105.61 101.23
Fractional positions:
Ti: 0.0711 0.2145 0.1791
Ti: 0.2145 0.0711 0.6791
Ti: 0.7855 0.9289 0.3209
Ti: 0.9289 0.7855 0.8209
Cd: 0.2877 0.7123 0.2500
Cd: 0.7123 0.2877 0.7500
Pb: 0.4023 0.5977 0.7500
Pb: 0.5977 0.4023 0.2500
O: 0.0751 0.1504 0.4483
O: 0.1108 0.6719 0.9133
O: 0.1504 0.0751 0.9483
O: 0.2954 0.4271 0.3202
O: 0.3281 0.8892 0.5867
O: 0.4271 0.2954 0.8202
O: 0.5729 0.7046 0.1798
O: 0.6719 0.1108 0.4133
O: 0.7046 0.5729 0.6798
O: 0.8496 0.9249 0.0517
O: 0.8892 0.3281 0.0867
O: 0.9249 0.8496 0.5517

Properties
For the density of states at the Fermi level, the calculation gives 0.000 states/eV/atom. The calculation puts the uncorrected formation energy at -2252 meV per atom. The energy is -7.268 eV per atom.


Entry 4:
The following is a PBE-GGA calculation of an optimized crystal structure of TiCdPbO4, from Alexandria.

a b c (Å): 6.1951 6.0008 6.8968
angles (deg): 90.00 99.63 90.00
Fractional positions:
Ti: 0.1751 0.2500 0.1223
Ti: 0.8249 0.7500 0.8777
Cd: 0.3449 0.7500 0.9102
Cd: 0.6551 0.2500 0.0898
Pb: 0.2235 0.7500 0.3764
Pb: 0.7765 0.2500 0.6236
O: 0.0248 0.7500 0.7133
O: 0.0542 0.2500 0.8690
O: 0.3714 0.0081 0.1708
O: 0.3714 0.4919 0.1708
O: 0.6286 0.5081 0.8292
O: 0.6286 0.9919 0.8292
O: 0.9458 0.7500 0.1310
O: 0.9752 0.2500 0.2867

Properties
For the density of states at the Fermi level, the calculation gives 0.000 states/eV/atom. The calculation puts the uncorrected formation energy at -1852 meV per atom. The energy is -6.474 eV per atom.


Entry 5:
The following is a PBE-GGA calculation of an optimized crystal structure of TlCdPbO4, from Alexandria.

a b c (Å): 6.8874 6.8874 6.8874
angles (deg): 120.46 119.46 90.07
Fractional positions:
Tl: 0.5000 0.0000 0.0000
Tl: 0.5000 0.5000 0.5000
Cd: 0.1230 0.3730 0.7500
Cd: 0.8770 0.6270 0.2500
Pb: 0.0000 0.0000 0.0000
Pb: 0.5000 0.0000 0.5000
O: 0.2583 0.2360 0.4778
O: 0.2583 0.7805 0.0222
O: 0.2606 0.2390 0.0216
O: 0.2826 0.7610 0.5216
O: 0.7174 0.2390 0.4784
O: 0.7394 0.7610 0.9784
O: 0.7417 0.2195 0.9778
O: 0.7417 0.7640 0.5222

Properties
For the density of states at the Fermi level, the calculation gives 0.203 states/eV/atom. The calculation puts the uncorrected formation energy at -854 meV per atom. The energy is -4.686 eV per atom.


Entry 6:
The following is a PBE-GGA calculation of an optimized crystal structure of Tl2CdPbO4, from Alexandria.

a b c (Å): 5.9542 5.9750 6.2941
angles (deg): 117.37 117.61 91.48
Fractional positions:
Tl: 0.0000 0.0000 0.0000
Tl: 0.2496 0.7500 0.4977
Cd: 0.5034 0.5042 0.0058
Pb: 0.7541 0.2544 0.5067
O: 0.1194 0.5551 0.7527
O: 0.4531 0.3621 0.2576
O: 0.6441 0.2074 0.7619
O: 0.8084 0.8975 0.2658

Properties
The calculation puts the uncorrected formation energy at -750 meV per atom. The energy is -4.399 eV per atom.


uncorrected formation energy of number 4 (TiCdPbO4)? -1852 meV per atom